Entry from OQMD via LeMat-Bulk: crystalline ErTm3Tl2B2 at its relaxed geometry (GGA-PBE).

Geometry as extended XYZ:
```
8
Lattice="3.5937 0.0000 0.0000 -1.7969 3.1123 0.0000 0.0000 0.0000 16.6960" Properties=species:S:1:pos:R:3 pbc="T T T"
Er 0.0000 0.0000 0.0000
Tm 0.0000 0.0000 5.3189
Tm 0.0000 2.0748 8.3452
Tm 0.0000 2.0748 13.6464
Tl 0.0000 0.0000 10.9991
Tl 0.0000 2.0748 2.6657
B 1.7969 1.0374 6.8290
B 1.7969 1.0374 15.1678
```

Results
Total magnetic moment in μB/atom: 0.002
Total DFT energy (no corrections) in eV per atom: -4.630